Model one:
Density functional theory data (GGA-PBE) for BRh3I after structural relaxation.

Results
calculated volume	22.96	Å³ per atom

a = 4.860 Å, b = 4.860 Å, c = 4.860 Å
α = 90.00°, β = 90.00°, γ = 90.00°
Space group Pm-3m (No. 221)
Asymmetric unit:
B (0.000, 0.000, 0.000) (multiplicity 1)
Rh (0.000, 0.500, 0.500) (multiplicity 3)
I (0.500, 0.500, 0.500) (multiplicity 1)

---

Model two:
Density functional theory data (GGA-PBE) for BRh3I after structural relaxation.

Results
calculated volume	15.32	Å³ per atom

a = 4.247 Å, b = 4.247 Å, c = 4.247 Å
α = 90.00°, β = 90.00°, γ = 90.00°
Space group Pm-3m (No. 221)
Asymmetric unit:
B (0.000, 0.000, 0.000) (multiplicity 1)
Rh (0.000, 0.000, 0.500) (multiplicity 3)
I (0.500, 0.500, 0.500) (multiplicity 1)

---

Stability, lowest: model one

---

Model one:
Density functional theory data (GGA-PBE) for BRhI2 after structural relaxation.

Results
calculated volume	24.16	Å³ per atom

a = 5.789 Å, b = 5.789 Å, c = 11.532 Å
α = 90.00°, β = 90.00°, γ = 90.00°
Space group I-42d (No. 122)
Asymmetric unit:
B (0.000, 0.000, 0.000) (multiplicity 4)
Rh (0.000, 0.000, 0.500) (multiplicity 4)
I (0.223, 0.250, 0.125) (multiplicity 8)

---

Model two:
Density functional theory data (GGA-PBE) for BRhI2 after structural relaxation.

Results
calculated volume	21.09	Å³ per atom

a = 6.962 Å, b = 6.962 Å, c = 6.962 Å
α = 90.00°, β = 90.00°, γ = 90.00°
Space group Fm-3m (No. 225)
Asymmetric unit:
B (0.000, 0.000, 0.000) (multiplicity 4)
Rh (0.000, 0.000, 0.500) (multiplicity 4)
I (0.250, 0.250, 0.250) (multiplicity 8)

---

Stability, lowest: model two

---

Model one:
Density functional theory data (GGA-PBE) for BTe2RhI after structural relaxation.

Results
calculated volume	22.25	Å³ per atom

a = 4.821 Å, b = 4.821 Å, c = 4.788 Å
α = 90.00°, β = 90.00°, γ = 90.00°
Space group P4/mmm (No. 123)
Asymmetric unit:
B (0.000, 0.000, 0.000) (multiplicity 1)
Te (0.000, 0.500, 0.000) (multiplicity 2)
Rh (0.500, 0.500, 0.500) (multiplicity 1)
I (0.000, 0.000, 0.500) (multiplicity 1)

---

Model two:
Density functional theory data (GGA-PBE) for BTe2RhI after structural relaxation.

Results
calculated volume	29.87	Å³ per atom

a = 5.170 Å, b = 5.170 Å, c = 5.588 Å
α = 90.00°, β = 90.00°, γ = 90.00°
Space group P4/mmm (No. 123)
Asymmetric unit:
B (0.000, 0.000, 0.000) (multiplicity 1)
Te (0.000, 0.500, 0.500) (multiplicity 2)
Rh (0.500, 0.500, 0.500) (multiplicity 1)
I (0.500, 0.500, 0.000) (multiplicity 1)

---

Stability, lowest: model two

---

Model one:
Density functional theory data (GGA-PBE) for BRuI3 after structural relaxation.

Results
calculated volume	26.44	Å³ per atom

a = 5.094 Å, b = 5.094 Å, c = 5.094 Å
α = 90.00°, β = 90.00°, γ = 90.00°
Space group Pm-3m (No. 221)
Asymmetric unit:
B (0.000, 0.000, 0.000) (multiplicity 1)
Ru (0.500, 0.500, 0.500) (multiplicity 1)
I (0.000, 0.000, 0.500) (multiplicity 3)

---

Model two:
Density functional theory data (GGA-PBE) for BRuI3 after structural relaxation.

Results
calculated volume	32.03	Å³ per atom

a = 5.431 Å, b = 5.431 Å, c = 5.431 Å
α = 90.00°, β = 90.00°, γ = 90.00°
Space group Pm-3m (No. 221)
Asymmetric unit:
B (0.000, 0.000, 0.000) (multiplicity 1)
Ru (0.500, 0.500, 0.500) (multiplicity 1)
I (0.000, 0.500, 0.500) (multiplicity 3)

---

Stability, lowest: model one